A relaxed ZnTePdI2 crystal, computed with GGA-PBE.

For the total energy, the calculation gives -2.008 eV per atom. The density of states at the Fermi level is 8.86 states/eV/f.u. For the total magnetization, the calculation gives 0.57 μB/cell. The formation energy without anion corrections is 0.53 eV per atom.

The space group is P4/mmm (No. 123) and the conventional cell measures 5.527, 5.527 and 5.330 Å, with angles of 90.00, 90.00 and 90.00 degrees. The distinct sites, in fractional coordinates, are Zn at (0.000, 0.000, 0.000), Te at (0.000, 0.000, 0.500), Pd at (0.500, 0.500, 0.500) and I at (0.000, 0.500, 0.000).

=====

A relaxed Pr2TeCl3 crystal, computed with GGA-PBE.

For the total energy, the calculation gives -4.912 eV per atom. The density of states at the Fermi level is 2.68 states/eV/f.u. For the total magnetization, the calculation gives 1.98 μB/cell. The formation energy without anion corrections is -1.87 eV per atom.

The space group is C2/m (No. 12) and the conventional cell measures 17.454, 4.388 and 13.971 Å, with angles of 90.00, 127.66 and 90.00 degrees. The distinct sites, in fractional coordinates, are Pr at (0.110, 0.000, 0.450), Pr at (0.153, 0.500, 0.869), Te at (0.116, 0.000, 0.681), Cl at (0.058, 0.500, 0.284), Cl at (0.140, 0.000, 0.995) and Cl at (0.239, 0.500, 0.590).

=====

A relaxed Sc6NiHg2 crystal, computed with GGA-PBE.

For the total energy, the calculation gives -5.251 eV per atom. The density of states at the Fermi level is 11.87 states/eV/f.u. The value obtained for the formation enthalpy at 0 K is -0.32 eV/atom. For the total magnetization, the calculation gives 4.75 μB/cell.

The space group is Amm2 (No. 38) and the conventional cell measures 3.465, 14.041 and 8.095 Å, with angles of 90.00, 90.00 and 90.00 degrees. The distinct sites, in fractional coordinates, are Sc at (0.000, 0.000, 0.000), Sc at (0.000, 0.120, 0.641), Sc at (0.500, 0.000, 0.363), Sc at (0.500, 0.199, 0.960), Ni at (0.500, 0.000, 0.760) and Hg at (0.000, 0.167, 0.261).

=====

A relaxed Sr3Cd4Sn2 crystal, computed with GGA-PBE.

For the total energy, the calculation gives -2.323 eV per atom. The density of states at the Fermi level is 3.22 states/eV/f.u. The value obtained for the formation enthalpy at 0 K is -0.47 eV/atom. For the total magnetization, the calculation gives 0.00 μB/cell.

The space group is C2/m (No. 12) and the conventional cell measures 11.778, 5.081 and 9.748 Å, with angles of 90.00, 113.75 and 90.00 degrees. The distinct sites, in fractional coordinates, are Sr at (0.000, 0.000, 0.000), Sr at (0.162, 0.500, 0.672), Cd at (0.079, 0.000, 0.416), Cd at (0.212, 0.500, 0.040) and Sn at (0.117, 0.500, 0.280).

=====

Q: Look up the density of states at the Fermi level of the first one.
A: 8.86 states/eV/f.u.